Crystalline CuGeTeI2 at its relaxed geometry. Source: Alexandria, functional PBE-GGA.

a = 5.2947 Å, b = 5.2947 Å, c = 5.3307 Å
α = 90.00°, β = 90.00°, γ = 90.00°
Positions (direct):
Cu1 0.0000 0.0000 0.0000
Ge1 0.5000 0.5000 0.5000
Te1 0.0000 0.0000 0.5000
I1 0.0000 0.5000 0.0000
I2 0.5000 0.0000 0.0000

Properties
As for the symmetry: P4/mmm, No. 123. The energy above the most stable polymorph in this dataset comes out at 0 meV per atom. The density of states at the Fermi level is 3.08 states/eV/f.u. Its uncorrected formation energy is 390 meV per atom. Its total magnetization is 0.00 Bohr magnetons per cell.